DFT (PBE-GGA) results for crystalline La2ScAg at its relaxed geometry.

Values from the calculation:
- Formation energy: 0.02 eV/atom
- Relative energy among the computed polymorphs: 11.0 kJ/mol of atoms
- Calculated total energy: -4.7399 eV per atom
- Size of the total moment: 0.00 μB/cell

Cell and atoms, written as CIF:
```
data_La2ScAg
_chemical_formula_sum 'La4 Sc2 Ag2'
_symmetry_space_group_name_H-M 'I 4/m m m'
_symmetry_Int_Tables_number 139
_symmetry_space_group_name_Hall '-I 4 2'
_cell_length_a 4.846
_cell_length_b 4.846
_cell_length_c 9.582
_cell_angle_alpha 90.00
_cell_angle_beta 90.00
_cell_angle_gamma 90.00
loop_
_atom_site_label
_atom_site_type_symbol
_atom_site_fract_x
_atom_site_fract_y
_atom_site_fract_z
La1 La 0.000 0.500 0.250
Sc1 Sc 0.000 0.000 0.000
Ag1 Ag 0.000 0.000 0.500
```

---

DFT (PBE-GGA) results for crystalline La2ScAg at its relaxed geometry.

Values from the calculation:
- Formation energy: 0.07 eV/atom
- Relative energy among the computed polymorphs: 16.1 kJ/mol of atoms
- Calculated total energy: -4.6874 eV per atom
- Size of the total moment: 8.56 μB/cell

Cell and atoms, written as CIF:
```
data_La2ScAg
_chemical_formula_sum 'La8 Sc4 Ag4'
_symmetry_space_group_name_H-M 'F -4 3 m'
_symmetry_Int_Tables_number 216
_symmetry_space_group_name_Hall 'F -4 2 3'
_cell_length_a 7.569
_cell_length_b 7.569
_cell_length_c 7.569
_cell_angle_alpha 90.00
_cell_angle_beta 90.00
_cell_angle_gamma 90.00
loop_
_atom_site_label
_atom_site_type_symbol
_atom_site_fract_x
_atom_site_fract_y
_atom_site_fract_z
La1 La 0.000 0.000 0.000
La2 La 0.250 0.250 0.250
Sc1 Sc 0.000 0.000 0.500
Ag1 Ag 0.250 0.250 0.750
```

---

DFT (PBE-GGA) results for crystalline LaScAg2 at its relaxed geometry.

Values from the calculation:
- Formation energy: -0.08 eV/atom
- Relative energy among the computed polymorphs: 16.8 kJ/mol of atoms
- Calculated total energy: -4.3200 eV per atom
- Size of the total moment: 0.10 μB/cell

Cell and atoms, written as CIF:
```
data_LaScAg2
_chemical_formula_sum 'La2 Sc2 Ag4'
_symmetry_space_group_name_H-M 'I m m 2'
_symmetry_Int_Tables_number 44
_symmetry_space_group_name_Hall 'I 2 -2'
_cell_length_a 3.575
_cell_length_b 5.082
_cell_length_c 10.617
_cell_angle_alpha 90.00
_cell_angle_beta 90.00
_cell_angle_gamma 90.00
loop_
_atom_site_label
_atom_site_type_symbol
_atom_site_fract_x
_atom_site_fract_y
_atom_site_fract_z
La1 La 0.000 0.000 0.000
Sc1 Sc 0.000 0.500 0.784
Ag1 Ag 0.000 0.000 0.524
Ag2 Ag 0.000 0.500 0.238
```

---

DFT (PBE-GGA) results for crystalline LaScAg2 at its relaxed geometry.

Values from the calculation:
- Formation energy: -0.01 eV/atom
- Relative energy among the computed polymorphs: 23.9 kJ/mol of atoms
- Calculated total energy: -4.2460 eV per atom
- Size of the total moment: 0.00 μB/cell

Cell and atoms, written as CIF:
```
data_LaScAg2
_chemical_formula_sum 'La3 Sc3 Ag6'
_symmetry_space_group_name_H-M 'R -3 m'
_symmetry_Int_Tables_number 166
_symmetry_space_group_name_Hall '-R 3 2"'
_cell_length_a 3.5079
_cell_length_b 3.5079
_cell_length_c 28.0347
_cell_angle_alpha 90.00
_cell_angle_beta 90.00
_cell_angle_gamma 120.00
loop_
_atom_site_label
_atom_site_type_symbol
_atom_site_fract_x
_atom_site_fract_y
_atom_site_fract_z
La1 La 0.0000 0.0000 0.0000
Sc1 Sc 0.0000 0.0000 0.5000
Ag1 Ag 0.0000 0.0000 0.2408
```

---

Q: Which formula does entry 2 have?
A: La2ScAg

---

Q: formation energy of number 2 (La2ScAg)?
A: 0.07 eV/atom

---

Q: Which value of size of the total moment does entry 3 give?
A: 0.10 μB/cell

---

Q: relative energy among the computed polymorphs of number 1 (La2ScAg)?
A: 11.0 kJ/mol of atoms